# PBE CsNa2SiAg, relaxed
data_CsNa2SiAg
_space_group_name_H-M_alt 'P 4/m m m'
_space_group_IT_number 123
_space_group_name_Hall '-P 4 2'
_cell_length_a 5.777
_cell_length_b 5.777
_cell_length_c 4.985
_cell_angle_alpha 90.00
_cell_angle_beta 90.00
_cell_angle_gamma 90.00
loop_
_atom_site_label
_atom_site_fract_x
_atom_site_fract_y
_atom_site_fract_z
Cs1 0.000 0.000 0.000
Na1 0.000 0.500 0.500
Si1 0.500 0.500 0.500
Ag1 0.500 0.500 0.000
# VASP energy = -11.47 eV per cell
# Energy relative to the lowest polymorph listed for this composition = 0.00 eV per formula unit
# ΔE_f (raw) = 0.0598 eV per atom
# Theoretical density = 3.1 Mg/m³